Below is crystalline TiSNO2 at its relaxed geometry, with properties calculated at the PBE level.

a = 3.747 Å, b = 3.747 Å, c = 4.311 Å
α = 90.00°, β = 90.00°, γ = 90.00°
Space group P4/mmm (No. 123)
Unique sites:
Ti 0.000 0.000 0.000 x1
S 0.500 0.500 0.500 x1
N 0.000 0.000 0.500 x1
O 0.000 0.500 0.000 x2

Calculated values
* E: -6.3709 eV per atom
* density of states at the Fermi level: 0.842 states/eV per atom